This record from Alexandria via LeMat-Bulk describes a relaxed ZnPbO2F crystal. The functional is PBE.

```
ZnPbO2F
1.0
3.953 0.000 0.000
0.000 3.953 0.000
0.000 0.000 4.234
Zn Pb O F
1 1 2 1
direct
0.000 0.000 0.000
0.500 0.500 0.500
0.000 0.500 0.000
0.500 0.000 0.000
0.000 0.000 0.500
```

Results
- symmetry = No. 123
- spin magnetization (μB/f.u.) = 0.00
- ΔE_f (raw) (eV per atom) = -1.21